[1]
{
  "formula": "Pr3TlSn2",
  "functional": "PBE",
  "state": "relaxed",
  "lattice_angstrom": [[12.952, 0.000, 0.000], [0.000, 4.764, 0.000], [0.000, 0.000, 12.236]],
  "species": ["Pr", "Pr", "Pr", "Pr", "Pr", "Pr", "Pr", "Pr", "Pr", "Pr", "Pr", "Pr", "Tl", "Tl", "Tl", "Tl", "Sn", "Sn", "Sn", "Sn", "Sn", "Sn", "Sn", "Sn"],
  "fractional_positions": [[0.040, 0.250, 0.122], [0.133, 0.750, 0.570], [0.201, 0.250, 0.813], [0.299, 0.750, 0.313], [0.367, 0.250, 0.070], [0.460, 0.750, 0.622], [0.540, 0.250, 0.378], [0.633, 0.750, 0.930], [0.701, 0.250, 0.687], [0.799, 0.750, 0.187], [0.867, 0.250, 0.430], [0.960, 0.750, 0.878], [0.146, 0.250, 0.357], [0.354, 0.750, 0.857], [0.646, 0.250, 0.143], [0.854, 0.750, 0.643], [0.007, 0.750, 0.321], [0.183, 0.750, 0.027], [0.317, 0.250, 0.527], [0.493, 0.250, 0.821], [0.507, 0.750, 0.179], [0.683, 0.750, 0.473], [0.817, 0.250, 0.973], [0.993, 0.250, 0.679]],
  "sg": "Pnma (62)",
  "dft_energy_ev_per_atom": -4.685
}

[2]
{
  "formula": "PmPr2GaN",
  "functional": "PBE",
  "state": "relaxed",
  "lattice_angstrom": [[5.025, 0.000, 0.000], [0.000, 5.025, 0.000], [0.000, 0.000, 4.929]],
  "species": ["Pm", "Pr", "Pr", "Ga", "N"],
  "fractional_positions": [[0.000, 0.000, 0.000], [0.000, 0.500, 0.500], [0.500, 0.000, 0.500], [0.500, 0.500, 0.000], [0.000, 0.000, 0.500]],
  "e_form_raw_ev_per_atom": -0.795,
  "sg": "P4/mmm (123)"
}

[3]
{
  "formula": "MgTePd",
  "functional": "PBE",
  "state": "relaxed",
  "lattice_angstrom": [[4.573, 0.000, 0.000], [2.252, 3.981, 0.000], [0.279, 0.149, 7.293]],
  "species": ["Mg", "Mg", "Te", "Te", "Pd", "Pd"],
  "fractional_positions": [[0.000, 0.000, 0.000], [0.084, 0.917, 0.500], [0.331, 0.358, 0.788], [0.641, 0.670, 0.210], [0.440, 0.237, 0.417], [0.763, 0.562, 0.581]],
  "e_form_raw_ev_per_atom": -0.535,
  "sg": "P1 (1)"
}

[4]
{
  "formula": "La2HoHg",
  "functional": "PBE",
  "state": "relaxed",
  "lattice_angstrom": [[3.657, 0.000, 0.000], [0.000, 3.593, 0.000], [0.000, 0.000, 19.717]],
  "species": ["La", "La", "La", "La", "Ho", "Ho", "Hg", "Hg"],
  "fractional_positions": [[0.000, 0.000, 0.000], [0.000, 0.500, 0.500], [0.500, 0.000, 0.359], [0.500, 0.500, 0.859], [0.000, 0.000, 0.206], [0.000, 0.500, 0.706], [0.500, 0.000, 0.615], [0.500, 0.500, 0.115]],
  "sg": "Amm2 (38)",
  "dft_energy_ev_per_atom": -3.794
}

[5]
{
  "formula": "PmTcPb",
  "functional": "PBE",
  "state": "relaxed",
  "lattice_angstrom": [[4.713, 0.000, 0.000], [0.000, 4.713, 0.000], [0.000, 0.000, 6.925]],
  "species": ["Pm", "Pm", "Tc", "Tc", "Pb", "Pb"],
  "fractional_positions": [[0.250, 0.250, 0.226], [0.750, 0.750, 0.774], [0.250, 0.750, 0.500], [0.750, 0.250, 0.500], [0.250, 0.250, 0.727], [0.750, 0.750, 0.273]],
  "sg": "P4/nmm (129)",
  "dft_energy_ev_per_atom": -6.314
}

[6]
{
  "formula": "CaFeCu2",
  "functional": "PBE",
  "state": "relaxed",
  "lattice_angstrom": [[7.214, 0.000, 0.000], [0.000, 4.162, 0.000], [-2.399, 0.000, 5.012]],
  "species": ["Ca", "Ca", "Fe", "Fe", "Cu", "Cu", "Cu", "Cu"],
  "fractional_positions": [[0.000, 0.000, 0.000], [0.500, 0.500, 0.000], [0.188, 0.000, 0.568], [0.688, 0.500, 0.568], [0.005, 0.500, 0.518], [0.308, 0.500, 0.426], [0.505, 0.000, 0.518], [0.808, 0.000, 0.426]],
  "sg": "Cm (8)",
  "dft_energy_ev_per_atom": -4.523
}